(1)
Density functional theory data (GGA-PBE) for a relaxed structure of TbPr2HoS5.

Lattice parameters (Å, degrees): 4.876 4.876 10.313 90.00 90.00 90.00
Sites, in units of the cell vectors:
1 S 0.000 0.000 0.245
2 S 0.500 0.000 0.500
3 S 0.000 0.000 0.755
4 S 0.000 0.500 0.500
5 S 0.500 0.500 0.000
6 Pr 0.500 0.500 0.706
7 Pr 0.500 0.500 0.294
8 Ho 0.000 0.000 0.500
9 Tb 0.000 0.000 0.000

Computed properties:
Formation energy without anion corrections, eV/atom: -1.487

***

(2)
Density functional theory data (GGA-PBE) for a relaxed structure of PuTaNi2.

Lattice parameters (Å, degrees): 4.537 4.537 4.536 59.99 59.99 60.00
Sites, in units of the cell vectors:
1 Ni 0.250 0.250 0.250
2 Ni 0.750 0.750 0.750
3 Pu 0.000 0.000 0.000
4 Ta 0.500 0.500 0.500

Computed properties:
ΔH_f (0 K), eV per atom: 0.1268
Offset from the most stable computed form, eV/f.u.: 0.93

***

(3)
Density functional theory data (GGA-PBE) for a relaxed structure of NaBeTcO4.

Lattice parameters (Å, degrees): 5.566 5.566 6.049 90.00 90.00 113.66
Sites, in units of the cell vectors:
1 O 0.231 0.769 0.482
2 O 0.231 0.769 0.018
3 O 0.814 0.791 0.250
4 O 0.769 0.231 0.518
5 O 0.791 0.814 0.750
6 O 0.769 0.231 0.982
7 O 0.186 0.209 0.750
8 O 0.209 0.186 0.250
9 Be 0.130 0.870 0.250
10 Be 0.870 0.130 0.750
11 Tc 0.853 0.147 0.250
12 Tc 0.147 0.853 0.750
13 Na 0.500 0.500 0.000
14 Na 0.500 0.500 0.500

Computed properties:
Formation energy without anion corrections, eV/atom: -1.673

***

(4)
Density functional theory data (GGA-PBE) for a relaxed structure of Ce2GaPt7.

Lattice parameters (Å, degrees): 3.891 3.891 12.807 90.00 90.00 90.00
Sites, in units of the cell vectors:
1 Pt 0.000 0.500 0.853
2 Pt 0.500 0.000 0.147
3 Pt 0.500 0.500 0.500
4 Pt 0.000 0.000 0.000
5 Pt 0.500 0.000 0.350
6 Pt 0.000 0.000 0.500
7 Pt 0.000 0.500 0.650
8 Ga 0.500 0.500 0.000
9 Ce 0.000 0.500 0.265
10 Ce 0.500 0.000 0.735

Computed properties:
ΔH_f (0 K), eV per atom: -0.7367

***

(5)
Density functional theory data (GGA-PBE) for a relaxed structure of Pm4SiRhBr2.

Lattice parameters (Å, degrees): 4.110 7.512 7.766 106.85 90.00 90.00
Sites, in units of the cell vectors:
1 Rh 0.000 0.000 0.000
2 Br 0.000 0.500 0.500
3 Br 0.500 0.000 0.500
4 Pm 0.500 0.774 0.801
5 Pm 0.000 0.255 0.799
6 Pm 0.500 0.226 0.199
7 Pm 0.000 0.745 0.201
8 Si 0.500 0.500 0.000

Computed properties:
Formation energy without anion corrections, eV/atom: -1.015

***

(6)
Density functional theory data (GGA-PBE) for a relaxed structure of Cs5Zn2Pb4.

Lattice parameters (Å, degrees): 5.352 9.677 12.277 111.15 102.59 90.00
Sites, in units of the cell vectors:
1 Pb 0.023 0.358 0.046
2 Pb 0.977 0.642 0.954
3 Pb 0.390 0.529 0.780
4 Pb 0.610 0.471 0.220
5 Cs 0.845 0.210 0.691
6 Cs 0.185 0.305 0.371
7 Cs 0.155 0.790 0.309
8 Cs 0.815 0.695 0.629
9 Cs 0.500 0.000 0.000
10 Zn 0.464 0.355 0.929
11 Zn 0.536 0.645 0.071

Computed properties:
ΔH_f (0 K), eV per atom: -0.0605

***

(7)
Density functional theory data (GGA-PBE) for a relaxed structure of CeNbTc.

Lattice parameters (Å, degrees): 5.810 5.217 5.570 73.11 58.56 56.16
Sites, in units of the cell vectors:
1 Tc 0.750 0.500 0.500
2 Tc 0.250 0.500 0.500
3 Ce 0.339 0.000 0.322
4 Ce 0.661 0.000 0.678
5 Nb 0.842 0.317 0.000
6 Nb 0.158 0.683 0.000

Computed properties:
ΔH_f (0 K), eV per atom: 0.0276

***

(8)
Density functional theory data (GGA-PBE) for a relaxed structure of Hg3H4O4.

Lattice parameters (Å, degrees): 3.849 3.353 14.954 86.84 85.84 114.88
Sites, in units of the cell vectors:
1 Hg 0.936 0.228 0.309
2 Hg 0.064 0.772 0.691
3 Hg 0.998 0.003 0.000
4 H 0.532 0.849 0.558
5 H 0.600 0.697 0.824
6 H 0.468 0.150 0.442
7 H 0.401 0.303 0.176
8 O 0.531 0.079 0.596
9 O 0.404 0.533 0.214
10 O 0.469 0.921 0.404
11 O 0.596 0.466 0.786

***

(9)
Density functional theory data (GGA-PBE) for a relaxed structure of SrNb2TcN.

Lattice parameters (Å, degrees): 4.895 4.634 4.895 90.00 90.00 90.00
Sites, in units of the cell vectors:
1 N 0.500 0.500 0.500
2 Sr 0.000 0.000 0.000
3 Nb 0.500 0.000 0.000
4 Nb 0.000 0.000 0.500
5 Tc 0.000 0.500 0.000

Computed properties:
Formation energy without anion corrections, eV/atom: 3.741

***

(10)
Density functional theory data (GGA-PBE) for a relaxed structure of BePRh2.

Lattice parameters (Å, degrees): 7.170 7.170 7.170 23.21 23.21 23.21
Sites, in units of the cell vectors:
1 P 0.750 0.750 0.750
2 Rh 0.501 0.501 0.501
3 Rh 0.999 0.999 0.999
4 Be 0.250 0.250 0.250

Computed properties:
ΔH_f (0 K), eV per atom: -0.3507
Offset from the most stable computed form, eV/f.u.: 0.86

***

(11)
Density functional theory data (GGA-PBE) for a relaxed structure of Na2Ca2V.

Lattice parameters (Å, degrees): 8.012 8.012 5.088 90.00 90.00 90.00
Sites, in units of the cell vectors:
1 V 0.500 0.500 0.000
2 V 0.000 0.000 0.000
3 Ca 0.187 0.687 0.500
4 Ca 0.687 0.813 0.500
5 Ca 0.313 0.187 0.500
6 Ca 0.813 0.313 0.500
7 Na 0.370 0.870 0.000
8 Na 0.630 0.130 0.000
9 Na 0.130 0.370 0.000
10 Na 0.870 0.630 0.000

Computed properties:
ΔH_f (0 K), eV per atom: 0.5973
Offset from the most stable computed form, eV/f.u.: 0.00

***

(12)
Density functional theory data (GGA-PBE) for a relaxed structure of Rb2BaHgAs.

Lattice parameters (Å, degrees): 6.610 5.576 6.610 90.00 90.00 90.00
Sites, in units of the cell vectors:
1 Hg 0.000 0.000 0.000
2 Rb 0.000 0.000 0.500
3 Rb 0.500 0.000 0.000
4 Ba 0.500 0.500 0.500
5 As 0.000 0.500 0.000

Computed properties:
ΔH_f (0 K), eV per atom: 0.0412

***

(13)
Density functional theory data (GGA-PBE) for a relaxed structure of FeCl4.

Lattice parameters (Å, degrees): 7.012 7.012 7.012 92.63 92.63 155.24
Sites, in units of the cell vectors:
1 Cl 0.459 0.289 0.748
2 Cl 0.289 0.541 0.831
3 Cl 0.541 0.711 0.252
4 Cl 0.711 0.459 0.169
5 Fe 0.000 0.000 0.000

Computed properties:
Formation energy without anion corrections, eV/atom: -0.121

***

(14)
Density functional theory data (GGA-PBE) for a relaxed structure of MnPb2W.

Lattice parameters (Å, degrees): 3.199 3.199 8.229 90.00 90.00 90.00
Sites, in units of the cell vectors:
1 Pb 0.000 0.000 0.498
2 Pb 0.000 0.000 0.002
3 W 0.500 0.500 0.250
4 Mn 0.500 0.500 0.750

Computed properties:
ΔH_f (0 K), eV per atom: 0.9949
Offset from the most stable computed form, eV/f.u.: 2.25

***

(15)
Density functional theory data (GGA-PBE) for a relaxed structure of Ag3HBr.

Lattice parameters (Å, degrees): 5.267 5.267 5.267 90.00 90.00 90.00
Sites, in units of the cell vectors:
1 Ag 0.500 0.000 0.000
2 Ag 0.000 0.000 0.500
3 Ag 0.000 0.500 0.000
4 Br 0.000 0.000 0.000
5 H 0.500 0.500 0.500

Computed properties:
Offset from the most stable computed form, eV/f.u.: 3.70

***

(16)
Density functional theory data (GGA-PBE) for a relaxed structure of ErThZnGa.

Lattice parameters (Å, degrees): 5.112 5.112 5.112 60.00 60.00 60.00
Sites, in units of the cell vectors:
1 Ga 0.250 0.250 0.250
2 Er 0.500 0.500 0.500
3 Zn 0.750 0.750 0.750
4 Th 0.000 0.000 0.000

Computed properties:
ΔH_f (0 K), eV per atom: -0.3928

***

(17)
Density functional theory data (GGA-PBE) for a relaxed structure of Y2BBr.

Lattice parameters (Å, degrees): 3.889 3.889 7.443 74.85 74.85 60.00
Sites, in units of the cell vectors:
1 Br 0.500 0.500 0.500
2 Y 0.271 0.271 0.186
3 Y 0.729 0.729 0.814
4 B 0.000 0.000 0.000

Computed properties:
Offset from the most stable computed form, eV/f.u.: 0.00
Formation energy without anion corrections, eV/atom: -0.800

***

(18)
Density functional theory data (GGA-PBE) for a relaxed structure of TbCeSm.

Lattice parameters (Å, degrees): 6.137 3.542 15.451 124.86 53.44 89.95
Sites, in units of the cell vectors:
1 Sm 0.446 0.087 0.901
2 Sm 0.590 0.965 0.250
3 Ce 0.767 0.773 0.574
4 Ce 0.269 0.278 0.577
5 Tb 0.094 0.458 0.247
6 Tb 0.942 0.593 0.904

Computed properties:
ΔH_f (0 K), eV per atom: 0.0707
Offset from the most stable computed form, eV/f.u.: 0.00

***

(19)
Density functional theory data (GGA-PBE) for a relaxed structure of Dy11Er4Tm9.

Lattice parameters (Å, degrees): 3.492 14.540 14.540 91.49 90.00 90.00
Sites, in units of the cell vectors:
1 Dy 0.000 0.415 0.079
2 Dy 0.000 0.000 0.000
3 Dy 0.000 0.241 0.241
4 Dy 0.000 0.655 0.345
5 Dy 0.000 0.759 0.759
6 Dy 0.000 0.079 0.415
7 Dy 0.000 0.585 0.921
8 Dy 0.000 0.171 0.829
9 Dy 0.000 0.345 0.655
10 Dy 0.000 0.921 0.585
11 Dy 0.000 0.829 0.171
12 Er 0.500 0.447 0.279
13 Er 0.500 0.279 0.447
14 Er 0.500 0.721 0.553
15 Er 0.500 0.553 0.721
16 Tm 0.500 0.794 0.965
17 Tm 0.500 0.206 0.035
18 Tm 0.500 0.035 0.206
19 Tm 0.500 0.965 0.794
20 Tm 0.500 0.500 0.500
21 Tm 0.500 0.622 0.131
22 Tm 0.500 0.378 0.869
23 Tm 0.500 0.869 0.378
24 Tm 0.500 0.131 0.622

Computed properties:
ΔH_f (0 K), eV per atom: 0.0579

***

(20)
Density functional theory data (GGA-PBE) for a relaxed structure of TiH3W.

Lattice parameters (Å, degrees): 3.404 3.404 3.404 90.00 90.00 90.00
Sites, in units of the cell vectors:
1 H 0.000 0.500 0.000
2 H 0.500 0.000 0.000
3 H 0.000 0.000 0.500
4 Ti 0.000 0.000 0.000
5 W 0.500 0.500 0.500

Computed properties:
Offset from the most stable computed form, eV/f.u.: 0.75

***

| no. | total DFT energy (no corrections) (eV per atom) |
| --- | --- |
| 1 | -5.8652 |
| 2 | -9.3100 |
| 3 | -6.7076 |
| 4 | -6.4547 |
| 5 | -5.4051 |
| 6 | -2.0286 |
| 7 | -8.7622 |
| 8 | -3.6998 |
| 9 | -4.3614 |
| 10 | -6.3105 |
| 11 | -2.5547 |
| 12 | -1.7207 |
| 13 | -3.2906 |
| 14 | -6.3900 |
| 15 | -1.7537 |
| 16 | -4.4637 |
| 17 | -6.1198 |
| 18 | -5.0237 |
| 19 | -4.4886 |
| 20 | -5.8549 |